TbAl2Cd GGA-PBE relaxed; symmetry = R-3m; D(E_F) = 2.09 states/eV per cell; total energy = -3.44 eV/atom; distance to the lowest polymorph of the same formula = 148 meV/atom; ΔE_f = -17.7 kJ per mole of atoms; volume = 89.46 Å³ per cell
1.0
-0.595 4.032 1.896
0.129 0.421 4.473
4.881 2.334 1.898
Tb Al Cd
1 2 1
Direct
0.500 0.500 0.500 Tb
0.280 0.280 0.159 Al
0.720 0.720 0.841 Al
0.000 0.000 0.000 Cd